(1)
This record from the Alexandria database describes a geometry-optimized Ho3GaPd3 structure. The functional is PBE.

Structure (extended XYZ):
```
14
Lattice="2.034 -5.140 0.000 2.034 5.140 0.000 0.000 0.000 14.306" Properties=species:S:1:pos:R:3 pbc="T T T"
Ho 2.034 4.924 10.729
Ho 2.034 2.095 8.620
Ho 2.034 2.095 12.838
Ho 2.034 -2.095 1.467
Ho 2.034 -2.095 5.686
Ho 2.034 -4.924 3.576
Ga 0.000 0.000 0.000
Ga 0.000 0.000 7.153
Pd 2.034 2.516 3.576
Pd 2.034 0.859 1.341
Pd 2.034 0.859 5.812
Pd 2.034 -0.859 8.494
Pd 2.034 -0.859 12.965
Pd 2.034 -2.516 10.729
```

Calculated values
Its symmetry is Cmcm.

---

(2)
This record from the Alexandria database describes a geometry-optimized Ti6Tc5Pd structure. The functional is PBE.

Structure (extended XYZ):
```
12
Lattice="-2.198 3.108 6.601 2.198 -3.108 6.601 2.198 3.108 -6.601" Properties=species:S:1:pos:R:3 pbc="T T T"
Ti 2.198 1.525 -2.246
Ti 0.000 1.496 0.000
Ti 2.198 1.525 2.246
Ti 0.000 1.583 4.356
Ti 0.000 4.720 0.000
Ti 0.000 1.583 8.847
Tc 2.198 0.000 0.000
Tc 0.000 0.000 2.206
Tc 2.198 0.000 4.434
Tc 0.000 3.108 2.168
Tc 0.000 0.000 10.997
Pd 0.000 0.000 6.601
```

Calculated values
Its symmetry is Immm.

---

(3)
This record from the Alexandria database describes a geometry-optimized LaDy7Y2 structure. The functional is PBE.

Structure (extended XYZ):
```
10
Lattice="4.327 -8.247 0.000 4.327 8.247 0.000 0.000 0.000 5.593" Properties=species:S:1:pos:R:3 pbc="T T T"
La 0.000 0.000 0.000
Dy 1.527 1.860 2.797
Dy 4.327 4.748 0.000
Dy 1.527 -1.860 2.797
Dy 4.327 0.000 2.797
Dy 7.127 1.860 2.797
Dy 4.327 -4.748 0.000
Dy 7.127 -1.860 2.797
Y 4.327 3.374 2.797
Y 4.327 -3.374 2.797
```

Calculated values
The calculation puts the energy above the most stable polymorph in this dataset at 675 meV per atom. Its symmetry is Cmmm.

---

Formation enthalpy at 0 K list, top to bottom, in eV per atom: -0.859 -0.555 0.701